La4NdAu: optimized geometry, PBE.

```
12
Lattice="2.782 -10.990 0.000 2.782 10.990 0.000 0.000 0.000 6.600" Properties=species:S:1:pos:R:3 pbc="T T T"
La 2.782 10.470 3.300
La 2.782 7.514 1.942
La 2.782 5.426 4.627
La 2.782 1.400 4.212
La 2.782 -1.400 0.912
La 2.782 -5.426 1.327
La 2.782 -7.514 5.242
La 2.782 -10.470 0.000
Nd 2.782 2.947 0.961
Nd 2.782 -2.947 4.261
Au 2.782 8.405 5.626
Au 2.782 -8.405 2.326
```

Computed properties:
Magnetic moment in Bohr magnetons per cell: 0.0
Symmetry: Cmc2_1
Energy of formation in eV per atom: -0.18
Electronic total energy in Ry/atom: -0.35296